[1]
DFT (GGA-PBE) results for a relaxed structure of NiGe64.

Results
The value obtained for the distance to the lowest polymorph of the same formula is 0 meV/atom. Its crystal system is trigonal. For the magnetization, the calculation gives 0.0 Bohr magnetons per cell.

Cell: 11.5108 11.5108 11.5108 Å, 89.95 89.95 89.95°
Closest atoms and distances in Å follow each position.
Positions (direct):
Ge 0.8123 0.5629 0.5629  4 Ge 2.49
Ge 0.9372 0.9372 0.6859  4 Ge 2.48-2.49
Ge 0.1921 0.9372 0.9372  1 Ni 2.43, 4 Ge 2.48-2.55
Ge 0.4388 0.9383 0.1878  4 Ge 2.49
Ge 0.5612 0.0617 0.8122  4 Ge 2.49
Ge 0.0628 0.0628 0.8079  1 Ni 2.43, 4 Ge 2.48-2.55
Ge 0.4371 0.1877 0.4371  4 Ge 2.49
Ge 0.1897 0.1897 0.6889  4 Ge 2.48-2.49
Ge 0.9372 0.1921 0.9372  1 Ni 2.43, 4 Ge 2.48-2.55
Ge 0.4371 0.4371 0.1877  4 Ge 2.49
Ge 0.9383 0.4388 0.1878  4 Ge 2.49
Ge 0.3139 0.8146 0.3139  4 Ge 2.49
Ge 0.9383 0.1878 0.4388  4 Ge 2.49
Ge 0.6861 0.6861 0.1854  4 Ge 2.49
Ge 0.8146 0.3139 0.3139  4 Ge 2.49
Ge 0.5633 0.0630 0.3128  4 Ge 2.48-2.49
Ge 0.1878 0.9383 0.4388  4 Ge 2.49
Ge 0.6859 0.9372 0.9372  4 Ge 2.48-2.49
Ge 0.1878 0.4388 0.9383  4 Ge 2.49
Ge 0.3139 0.3139 0.8146  4 Ge 2.49
Ge 0.5633 0.3128 0.0630  4 Ge 2.48-2.49
Ge 0.6889 0.1897 0.1897  4 Ge 2.48-2.49
Ge 0.3128 0.0630 0.5633  4 Ge 2.48-2.49
Ge 0.5621 0.3125 0.5621  4 Ge 2.49
Ge 0.3125 0.5621 0.5621  4 Ge 2.49
Ge 0.0628 0.3141 0.0628  4 Ge 2.48-2.49
Ge 0.3141 0.0628 0.0628  4 Ge 2.48-2.49
Ge 0.8122 0.5612 0.0617  4 Ge 2.49
Ge 0.4367 0.9370 0.6872  4 Ge 2.48-2.49
Ge 0.5621 0.5621 0.3125  4 Ge 2.49
Ge 0.3128 0.5633 0.0630  4 Ge 2.48-2.49
Ge 0.8103 0.3111 0.8103  4 Ge 2.48-2.49
Ge 0.8122 0.0617 0.5612  4 Ge 2.49
Ge 0.0617 0.5612 0.8122  4 Ge 2.49
Ge 0.0628 0.0628 0.3141  4 Ge 2.48-2.49
Ge 0.1854 0.6861 0.6861  4 Ge 2.49
Ge 0.0630 0.3128 0.5633  4 Ge 2.48-2.49
Ge 0.3117 0.3117 0.3117  4 Ge 2.49-2.50
Ge 0.6872 0.9370 0.4367  4 Ge 2.48-2.49
Ge 0.5629 0.8123 0.5629  4 Ge 2.49
Ge 0.0630 0.5633 0.3128  4 Ge 2.48-2.49
Ge 0.9370 0.4367 0.6872  4 Ge 2.48-2.49
Ge 0.1865 0.1865 0.1865  4 Ge 2.49-2.50
Ge 0.6861 0.1854 0.6861  4 Ge 2.49
Ge 0.6872 0.4367 0.9370  4 Ge 2.48-2.49
Ge 0.8103 0.8103 0.3111  4 Ge 2.48-2.49
Ge 0.4379 0.4379 0.6875  4 Ge 2.49
Ni 0.0000 0.0000 0.0000  6 Ge 2.43
Ge 0.4367 0.6872 0.9370  4 Ge 2.48-2.49
Ge 0.1877 0.4371 0.4371  4 Ge 2.49
Ge 0.3111 0.8103 0.8103  4 Ge 2.48-2.49
Ge 0.6875 0.4379 0.4379  4 Ge 2.49
Ge 0.5612 0.8122 0.0617  4 Ge 2.49
Ge 0.8079 0.0628 0.0628  1 Ni 2.43, 4 Ge 2.48-2.55
Ge 0.8135 0.8135 0.8135  4 Ge 2.49-2.50
Ge 0.0628 0.8079 0.0628  1 Ni 2.43, 4 Ge 2.48-2.55
Ge 0.4379 0.6875 0.4379  4 Ge 2.49
Ge 0.9372 0.6859 0.9372  4 Ge 2.48-2.49
Ge 0.5629 0.5629 0.8123  4 Ge 2.49
Ge 0.9370 0.6872 0.4367  4 Ge 2.48-2.49
Ge 0.0617 0.8122 0.5612  4 Ge 2.49
Ge 0.9372 0.9372 0.1921  1 Ni 2.43, 4 Ge 2.48-2.55
Ge 0.1897 0.6889 0.1897  4 Ge 2.48-2.49
Ge 0.6883 0.6883 0.6883  4 Ge 2.49-2.50
Ge 0.4388 0.1878 0.9383  4 Ge 2.49

=====

[2]
DFT (GGA-PBE) results for a relaxed structure of NdScBi.

Results
Its crystal system is cubic. For the magnetization, the calculation gives 0.8 Bohr magnetons per cell. The value obtained for the uncorrected energy is -5.349 eV per atom.

Cell: 5.1333 5.1333 5.1333 Å, 60.00 60.00 60.00°
Closest atoms and distances in Å follow each position.
Positions (direct):
Sc 0.7500 0.7500 0.7500  4 Bi 3.14
Bi 0.0000 0.0000 0.0000  4 Nd 3.14, 4 Sc 3.14
Nd 0.2500 0.2500 0.2500  4 Bi 3.14